Below is a relaxed structure of PrMgSc2Pt2, with properties calculated at the PBE level.

## Properties
As for the total moment: 0.0 μB per formula unit. Its calculated volume is 130.5 Å³/f.u. Its total DFT energy (no corrections) is -6.077 eV/atom.

Cell: 4.7581 4.7581 6.6585 Å, 90.00 90.00 120.00°
Space group P-3m1 (No. 164)
Symmetry-distinct sites (fractional):
Pr 0.0000 0.0000 0.0000
Mg 0.0000 0.0000 0.5000
Sc 0.3333 0.6667 0.6688
Pt 0.3333 0.6667 0.2654

Below is a relaxed structure of Nd4Sm2Ge3O2, with properties calculated at the PBE level.

## Properties
The value obtained for the uncorrected formation energy is -1.4758 eV/atom. As for the total moment: 0.0 μB per formula unit. Its calculated volume is 272.4 Å³/f.u.

Cell: 4.715 4.715 24.505 Å, 90.00 90.00 90.00°
Space group I4/mmm (No. 139)
Symmetry-distinct sites (fractional):
Nd 0.000 0.500 0.080
Sm 0.000 0.000 0.199
Ge 0.000 0.000 0.324
Ge 0.000 0.000 0.500
O 0.000 0.000 0.104

Which of these has the lowest calculated volume?
PrMgSc2Pt2